Below is crystalline Ce3Ga4Pd4 at its relaxed geometry, with properties calculated at the PBE level.

Lattice parameters (Å, degrees): 4.263 7.156 8.297 115.55 104.89 90.00
Each line ends with the local moment (μB).
Fractional coordinates of all 11 atoms:
1 Ce 0.127 0.127 0.255  0.54
2 Ce 0.873 0.873 0.745  0.54
3 Ce 0.000 0.500 0.000  0.72
4 Ga 0.327 0.133 0.655  0.00
5 Ga 0.673 0.478 0.345  0.00
6 Ga 0.673 0.867 0.345  0.00
7 Ga 0.327 0.522 0.655  0.00
8 Pd 0.214 0.714 0.429  -0.01
9 Pd 0.786 0.286 0.571  -0.01
10 Pd 0.500 0.800 0.000  -0.01
11 Pd 0.500 0.200 0.000  -0.01

Computed properties:
Space group ... Immm
ρ ... 8534 kg/m³
Energy above the most stable polymorph in this dataset ... 0.000 eV/atom
ΔE_f ... -75 kJ/mol of atoms



Below is crystalline CeGa3Pd2 at its relaxed geometry, with properties calculated at the PBE level.

Lattice parameters (Å, degrees): 5.660 6.327 6.327 99.40 90.00 90.00
Each line ends with the local moment (μB).
Fractional coordinates of all 12 atoms:
1 Ce 0.250 0.343 0.343  0.77
2 Ce 0.750 0.657 0.657  0.77
3 Ga 0.750 0.443 0.123  0.00
4 Ga 0.750 0.123 0.443  0.00
5 Ga 0.250 0.557 0.877  0.00
6 Ga 0.750 0.031 0.031  0.01
7 Ga 0.250 0.969 0.969  0.01
8 Ga 0.250 0.877 0.557  0.00
9 Pd 0.500 0.777 0.223  0.01
10 Pd 0.000 0.777 0.223  0.01
11 Pd 0.000 0.223 0.777  0.01
12 Pd 0.500 0.223 0.777  0.01

Computed properties:
Space group ... Cmcm
ρ ... 8350 kg/m³
Energy above the most stable polymorph in this dataset ... 0.078 eV/atom
ΔE_f ... -62 kJ/mol of atoms



Below is crystalline CeGaPd6 at its relaxed geometry, with properties calculated at the PBE level.

Lattice parameters (Å, degrees): 4.090 4.090 7.908 90.00 90.00 90.00
Each line ends with the local moment (μB).
Fractional coordinates of all 8 atoms:
1 Ce 0.000 0.000 0.000  0.25
2 Ga 0.000 0.000 0.500  0.00
3 Pd 0.500 0.500 0.000  -0.01
4 Pd 0.500 0.500 0.500  0.00
5 Pd 0.500 0.000 0.263  -0.01
6 Pd 0.500 0.000 0.737  -0.01
7 Pd 0.000 0.500 0.263  -0.01
8 Pd 0.000 0.500 0.737  -0.01

Computed properties:
Space group ... P4/mmm
ρ ... 10649 kg/m³
Energy above the most stable polymorph in this dataset ... 0.000 eV/atom
ΔE_f ... -64 kJ/mol of atoms



Below is crystalline Ce2Ga3Pd5 at its relaxed geometry, with properties calculated at the PBE level.

Lattice parameters (Å, degrees): 4.314 6.928 12.500 90.00 99.94 90.00
Each line ends with the local moment (μB).
Fractional coordinates of all 20 atoms:
1 Ce 0.477 0.748 0.954  -0.06
2 Ce 0.178 0.733 0.356  0.43
3 Ce 0.822 0.233 0.644  0.43
4 Ce 0.523 0.248 0.046  -0.06
5 Ga 0.783 0.677 0.566  0.00
6 Ga 0.602 0.586 0.204  0.00
7 Ga 0.061 0.934 0.122  0.00
8 Ga 0.217 0.177 0.434  0.00
9 Ga 0.939 0.434 0.878  0.00
10 Ga 0.398 0.086 0.796  0.00
11 Pd 0.384 0.482 0.768  0.00
12 Pd 0.271 0.487 0.542  -0.01
13 Pd 0.729 0.987 0.458  -0.01
14 Pd 0.117 0.263 0.234  0.00
15 Pd 0.305 0.897 0.611  -0.01
16 Pd 0.958 0.057 0.917  0.00
17 Pd 0.695 0.397 0.389  -0.01
18 Pd 0.883 0.763 0.766  0.00
19 Pd 0.042 0.557 0.083  0.00
20 Pd 0.616 0.982 0.232  0.00

Computed properties:
Space group ... Cmc2_1
ρ ... 9219 kg/m³
Energy above the most stable polymorph in this dataset ... 0.005 eV/atom
ΔE_f ... -71 kJ/mol of atoms



Below is crystalline CeGaPd at its relaxed geometry, with properties calculated at the PBE level.

Lattice parameters (Å, degrees): 4.537 6.996 7.810 90.00 90.00 90.00
Each line ends with the local moment (μB).
Fractional coordinates of all 12 atoms:
1 Ga 0.250 0.318 0.420  0.03
2 Ga 0.250 0.818 0.080  0.03
3 Ga 0.750 0.182 0.920  0.03
4 Ga 0.750 0.682 0.580  0.03
5 Pd 0.250 0.221 0.090  0.00
6 Pd 0.750 0.779 0.910  0.00
7 Pd 0.750 0.279 0.590  0.00
8 Pd 0.250 0.721 0.410  0.00
9 Ce 0.750 0.517 0.207  0.61
10 Ce 0.250 0.983 0.707  0.61
11 Ce 0.750 0.017 0.293  0.61
12 Ce 0.250 0.483 0.793  0.61

Computed properties:
Space group ... Pnma
ρ ... 8474 kg/m³
ΔE_f ... -76 kJ/mol of atoms



Below is crystalline CeGa2Pd7 at its relaxed geometry, with properties calculated at the PBE level.

Lattice parameters (Å, degrees): 4.554 7.105 7.105 117.62 90.00 90.00
Each line ends with the local moment (μB).
Fractional coordinates of all 10 atoms:
1 Ce 0.000 0.000 0.000  0.23
2 Ga 0.500 0.700 0.300  0.00
3 Ga 0.500 0.300 0.700  0.00
4 Pd 0.000 0.779 0.221  -0.01
5 Pd 0.000 0.221 0.779  -0.01
6 Pd 0.500 0.069 0.307  -0.01
7 Pd 0.500 0.931 0.693  -0.01
8 Pd 0.500 0.307 0.069  -0.01
9 Pd 0.500 0.693 0.931  -0.01
10 Pd 0.500 0.500 0.500  0.00

Computed properties:
Space group ... Cmmm
ρ ... 8352 kg/m³
ΔE_f ... -29 kJ/mol of atoms